TlBiPbS3 after structural relaxation, computed with PBE.

POSCAR file:
```
TlBiPbS3
1.0
-2.0748 2.9786 6.6762
2.0748 -2.9786 6.6762
2.0748 2.9786 -6.6762
Tl Bi Pb S
1 1 1 3
direct
0.0000 0.0000 0.0000 Tl
0.6723 0.6723 0.0000 Bi
0.3386 0.3386 0.0000 Pb
0.1927 0.6927 0.5000 S
0.5308 0.0308 0.5000 S
0.8197 0.3197 0.5000 S
```

* energy relative to the lowest polymorph listed for this composition: 33 meV per atom
* raw total energy: -0.15216 hartree per atom
* crystal system: orthorhombic
* calculated density: 7.21 g cm⁻³